SrAl3Te PBE optimized geometry; magnetic moment = 0.0 μB per formula unit; space-group type = Pm-3m (221); crystal system = cubic; density = 3.01 Mg/m³; relative energy among the computed polymorphs = 0.0 meV per atom
1.0
5.466 0.000 0.000
0.000 5.466 0.000
0.000 0.000 5.466
Sr Al Te
1 3 1
Direct
0.000 0.000 0.000
0.000 0.500 0.500
0.500 0.000 0.500
0.500 0.500 0.000
0.500 0.500 0.500